A plane-wave DFT calculation with PBE was carried out for a relaxed YMo6S8 crystal.

Values from the calculation:
* symmetry: R-3 (148)
* M_tot: 0.0 μB per cell
* uncorrected formation energy: -0.91 eV/atom

abc: 6.4996 6.4996 6.4996
angles: 89.42 89.42 89.42
With the nearest neighbours (Å) after each atom.
Positions (direct):
S 0.6317 0.8715 0.2480  4 Mo 2.45-2.59
Mo 0.5600 0.2231 0.4204  5 S 2.41-2.59, 2 Mo 2.68
Mo 0.4204 0.5600 0.2231  5 S 2.41-2.59, 2 Mo 2.68
Mo 0.5796 0.4400 0.7769  5 S 2.41-2.59, 2 Mo 2.68
S 0.1285 0.7520 0.3683  4 Mo 2.45-2.59
S 0.7617 0.7617 0.7617  3 Mo 2.41
S 0.2480 0.6317 0.8715  4 Mo 2.45-2.59
Mo 0.7769 0.5796 0.4400  5 S 2.41-2.59, 2 Mo 2.68
S 0.8715 0.2480 0.6317  4 Mo 2.45-2.59
S 0.3683 0.1285 0.7520  4 Mo 2.45-2.59
S 0.2383 0.2383 0.2383  3 Mo 2.41
Mo 0.2231 0.4204 0.5600  5 S 2.41-2.59, 2 Mo 2.68
Y 0.0000 0.0000 0.0000  8 S 2.71-2.99
S 0.7520 0.3683 0.1285  4 Mo 2.45-2.59
Mo 0.4400 0.7769 0.5796  5 S 2.41-2.59, 2 Mo 2.68